DFT (PBE-GGA) results for BaLuAgTeSe2 after structural relaxation.

Computed properties:
Crystal system: orthorhombic
Space group: Cmcm (63)

abc: 7.7657 7.7657 11.0138
angles: 90.00 90.00 148.42
Last column: nearest neighbours and their distance in Å.
Fractional positions:
Ba (0.7269, 0.2731, 0.7500)  4 Se 3.39, 2 Te 3.44, 2 Ag 3.64
Ba (0.2731, 0.7269, 0.2500)  4 Se 3.39, 2 Te 3.44, 2 Ag 3.64
Se (0.8733, 0.1267, 0.0513)  1 Ag 2.63, 2 Lu 2.89
Se (0.8733, 0.1267, 0.4487)  1 Ag 2.63, 2 Lu 2.89
Se (0.1267, 0.8733, 0.5513)  1 Ag 2.63, 2 Lu 2.89
Se (0.1267, 0.8733, 0.9487)  1 Ag 2.63, 2 Lu 2.89
Ag (0.0288, 0.9712, 0.7500)  2 Se 2.63, 2 Te 2.77
Ag (0.9712, 0.0288, 0.2500)  2 Se 2.63, 2 Te 2.77
Lu (0.5000, 0.5000, 0.0000)  4 Se 2.89, 2 Te 3.07
Lu (0.5000, 0.5000, 0.5000)  4 Se 2.89, 2 Te 3.07
Te (0.5910, 0.4090, 0.2500)  2 Ag 2.77, 2 Lu 3.07
Te (0.4090, 0.5910, 0.7500)  2 Ag 2.77, 2 Lu 3.07

---

DFT (PBE-GGA) results for BaLuAgTe3 after structural relaxation.

Computed properties:
Crystal system: monoclinic
Space group: P2_1/m (11)

abc: 8.5918 4.4682 10.7685
angles: 90.00 106.91 90.00
Last column: nearest neighbours and their distance in Å.
Fractional positions:
Te (0.7729, 0.7500, 0.0521)  3 Ag 2.90-2.98, 1 Lu 3.05
Te (0.4266, 0.7500, 0.6442)  1 Ag 2.83, 2 Lu 3.05
Te (0.2271, 0.2500, 0.9479)  3 Ag 2.90-2.98, 1 Lu 3.05
Te (0.9402, 0.7500, 0.6367)  3 Lu 3.04-3.07
Te (0.0598, 0.2500, 0.3633)  3 Lu 3.04-3.07
Te (0.5734, 0.2500, 0.3558)  1 Ag 2.83, 2 Lu 3.05
Lu (0.8088, 0.7500, 0.3420)  6 Te 3.04-3.07
Lu (0.1912, 0.2500, 0.6580)  6 Te 3.04-3.07
Ag (0.4209, 0.7500, 0.9058)  4 Te 2.83-2.98, 2 Ag 3.06
Ag (0.5791, 0.2500, 0.0942)  4 Te 2.83-2.98, 2 Ag 3.06
Ba (0.7454, 0.2500, 0.7907)  6 Te 3.49-3.55
Ba (0.2546, 0.7500, 0.2092)  6 Te 3.49-3.55

---

Here are the calculated size of the total moment numbers, same order: 0.001; 0.000 (μB/atom).
Here are the calculated electronic total energy numbers, same order: -55.36; -52.02 (eV/cell).